[1]
4
Lattice="-0.099 -4.576 2.233 4.267 -1.967 1.965 0.538 -0.381 5.050" Properties=species:S:1:pos:R:3 comment="TlAuCl2 PBE optimized geometry" polymorph_energy_ev_per_atom=0.566 volume_a3_per_cell=93.4 raw_formation_energy_kj_per_mol_atoms=-6 pbc="T T T"
Cl 0.000 0.000 0.000
Cl 3.530 -5.193 6.936
Au 2.353 -3.462 4.624
Tl 1.177 -1.731 2.312

=====

[2]
4
Lattice="-4.104 0.499 -0.073 1.328 -2.339 -3.140 -0.882 -6.588 4.535" Properties=species:S:1:pos:R:3 comment="TlAuCl2 PBE optimized geometry" polymorph_energy_ev_per_atom=0.264 volume_a3_per_cell=127.6 raw_formation_energy_kj_per_mol_atoms=-35 pbc="T T T"
Cl -0.808 -6.035 4.154
Cl -1.620 -2.654 -0.413
Au -2.142 -6.556 2.273
Tl -0.410 -3.066 2.110

=====

[3]
4
Lattice="3.764 0.000 0.000 0.000 3.784 0.000 0.000 0.000 8.003" Properties=species:S:1:pos:R:3 comment="TlAu2Cl PBE optimized geometry" polymorph_energy_ev_per_atom=0.000 volume_a3_per_cell=114.0 raw_formation_energy_kj_per_mol_atoms=-18 pbc="T T T"
Au 0.000 0.000 1.317
Au 1.882 1.892 0.761
Cl 0.000 0.000 4.234
Tl 1.882 1.892 5.693

=====

[4]
5
Lattice="5.099 0.000 0.000 0.000 5.099 0.000 0.000 0.000 5.099" Properties=species:S:1:pos:R:3 comment="TlAu3Cl PBE optimized geometry" polymorph_energy_ev_per_atom=0.000 volume_a3_per_cell=132.6 raw_formation_energy_kj_per_mol_atoms=61 pbc="T T T"
Au 0.000 2.550 0.000
Cl 0.000 0.000 0.000
Au 0.000 0.000 2.550
Au 2.550 0.000 0.000
Tl 2.550 2.550 2.550

=====

[5]
4
Lattice="-1.426 3.048 5.885 -3.864 2.150 -2.025 0.296 -4.079 0.937" Properties=species:S:1:pos:R:3 comment="TlAu2Cl PBE optimized geometry" polymorph_energy_ev_per_atom=0.090 volume_a3_per_cell=107.1 raw_formation_energy_kj_per_mol_atoms=-9 pbc="T T T"
Tl -2.008 0.725 4.536
Cl -2.781 2.333 1.871
Au -3.605 -1.806 -0.883
Au -2.813 0.537 0.115

=====

[6]
4
Lattice="6.858 -0.009 -0.009 4.480 5.192 0.009 -5.282 -3.438 2.704" Properties=species:S:1:pos:R:3 comment="TlAu2Cl PBE optimized geometry" polymorph_energy_ev_per_atom=0.117 volume_a3_per_cell=96.5 raw_formation_energy_kj_per_mol_atoms=-7 pbc="T T T"
Au 0.033 0.015 0.000
Cl 3.623 -0.428 1.347
Au 5.636 2.576 0.000
Tl 2.434 2.173 1.357

=====

Q: What is the formula in the fifth record?
A: TlAu2Cl